No. 1
## Hf2BeZnRu (PBE-GGA)

Data for crystalline Hf2BeZnRu at its relaxed geometry.

a b c (Å): 4.930 4.258 4.930
angles (deg): 90.00 90.00 90.00
Sites, in units of the cell vectors:
Ru  0.000  0.000  0.000
Be  0.000  0.500  0.000
Zn  0.500  0.500  0.500
Hf  0.500  0.000  0.000
Hf  0.000  0.000  0.500

Results
calculated total energy: -0.4733 Ry per atom
size of the total moment: 0.0 μB/f.u.
energy relative to the elements: 0.40 eV per atom
N(E_F): 4.40 states/eV/f.u.


No. 2
## Hf4BeS (PBE-GGA)

Data for crystalline Hf4BeS at its relaxed geometry.

a b c (Å): 3.297 6.085 11.396
angles (deg): 92.98 90.00 90.00
Sites, in units of the cell vectors:
Hf  0.000  0.328  0.641
Hf  0.000  0.340  0.143
Hf  0.500  0.840  0.643
S  0.500  0.500  0.500
Be  0.000  0.000  0.500
Hf  0.500  0.172  0.859
Hf  0.000  0.660  0.857
Hf  0.000  0.672  0.359
Hf  0.500  0.160  0.357
Hf  0.500  0.828  0.141
S  0.000  0.000  0.000
Be  0.500  0.500  0.000

Results
calculated total energy: -0.6131 Ry per atom
uncorrected formation energy: -397 meV/atom
size of the total moment: 0.0 μB/f.u.
N(E_F): 5.24 states/eV/f.u.


No. 3
## HfBeS (PBE-GGA)

Data for crystalline HfBeS at its relaxed geometry.

a b c (Å): 3.580 3.581 11.148
angles (deg): 89.90 80.76 60.01
Sites, in units of the cell vectors:
Be  0.359  0.820  0.461
Be  0.641  0.180  0.539
Hf  0.192  0.903  0.713
Hf  0.808  0.097  0.287
S  0.223  0.390  0.163
S  0.777  0.610  0.837

Results
calculated total energy: -0.4752 Ry per atom
uncorrected formation energy: -530 meV/atom
size of the total moment: 0.0 μB/f.u.
N(E_F): 1.22 states/eV/f.u.


No. 4
## HfBeS2 (PBE-GGA)

Data for crystalline HfBeS2 at its relaxed geometry.

a b c (Å): 7.428 7.428 7.428
angles (deg): 26.93 26.93 26.93
Sites, in units of the cell vectors:
S  0.909  0.909  0.909
S  0.091  0.091  0.091
Be  0.000  0.000  0.000
Hf  0.500  0.500  0.500

Results
calculated total energy: -0.4610 Ry per atom
uncorrected formation energy: -788 meV/atom
size of the total moment: 0.0 μB/f.u.
N(E_F): 0.10 states/eV/f.u.


No. 5
## HfBeS2 (PBE-GGA)

Data for crystalline HfBeS2 at its relaxed geometry.

a b c (Å): 5.522 5.522 6.155
angles (deg): 63.35 63.35 90.00
Last column: magnetic moment on the atom in μB.
Sites, in units of the cell vectors:
Be  0.250  0.750  0.500  0.02
S  0.562  0.125  0.250  0.00
Hf  0.750  0.250  0.500  0.41
Be  0.500  0.500  0.000  0.03
S  0.875  0.812  0.750  0.00
Hf  0.000  0.000  0.000  0.43
S  0.375  0.438  0.750  0.00
S  0.188  0.625  0.250  0.00

Results
calculated total energy: -0.4578 Ry per atom
uncorrected formation energy: -744 meV/atom
size of the total moment: 0.8 μB/f.u.
N(E_F): 3.33 states/eV/f.u.


No. 6
## HfBeTc2S (PBE-GGA)

Data for crystalline HfBeTc2S at its relaxed geometry.

a b c (Å): 4.097 4.719 4.097
angles (deg): 90.00 90.00 90.00
Sites, in units of the cell vectors:
Hf  0.000  0.500  0.000
Tc  0.500  0.000  0.000
Tc  0.000  0.000  0.500
Be  0.000  0.000  0.000
S  0.500  0.500  0.500

Results
calculated total energy: -0.5250 Ry per atom
uncorrected formation energy: 565 meV/atom
size of the total moment: 0.0 μB/f.u.
N(E_F): 5.08 states/eV/f.u.


No. 7
## Hf2Be2Sb (PBE-GGA)

Data for crystalline Hf2Be2Sb at its relaxed geometry.

a b c (Å): 6.461 6.461 3.849
angles (deg): 90.00 90.00 90.00
Sites, in units of the cell vectors:
Be  0.113  0.387  0.000
Be  0.613  0.113  0.000
Be  0.887  0.613  0.000
Sb  0.500  0.500  0.000
Hf  0.173  0.673  0.500
Hf  0.327  0.173  0.500
Be  0.387  0.887  0.000
Sb  0.000  0.000  0.000
Hf  0.827  0.327  0.500
Hf  0.673  0.827  0.500

Results
calculated total energy: -0.4832 Ry per atom
uncorrected formation energy: -278 meV/atom
size of the total moment: 0.0 μB/f.u.
N(E_F): 1.85 states/eV/f.u.


No. 8
## HfBeSb3 (PBE-GGA)

Data for crystalline HfBeSb3 at its relaxed geometry.

a b c (Å): 5.484 5.484 5.484
angles (deg): 90.00 90.00 90.00
Sites, in units of the cell vectors:
Sb  0.000  0.500  0.000
Sb  0.000  0.000  0.500
Be  0.500  0.500  0.500
Hf  0.000  0.000  0.000
Sb  0.500  0.000  0.000

Results
calculated total energy: -0.3237 Ry per atom
uncorrected formation energy: 805 meV/atom
size of the total moment: 0.0 μB/f.u.
energy above the lowest structure with this stoichiometry: 240 meV/atom
N(E_F): 4.28 states/eV/f.u.


No. 9
## HfBeSb3 (PBE-GGA)

Data for crystalline HfBeSb3 at its relaxed geometry.

a b c (Å): 4.897 4.897 4.897
angles (deg): 90.00 90.00 90.00
Sites, in units of the cell vectors:
Sb  0.000  0.500  0.000
Sb  0.000  0.000  0.500
Be  0.000  0.000  0.000
Sb  0.500  0.000  0.000
Hf  0.500  0.500  0.500

Results
calculated total energy: -0.3414 Ry per atom
uncorrected formation energy: 565 meV/atom
size of the total moment: 0.0 μB/f.u.
energy above the lowest structure with this stoichiometry: 0 meV/atom
N(E_F): 3.53 states/eV/f.u.


No. 10
## Hf2BeSb (PBE-GGA)

Data for crystalline Hf2BeSb at its relaxed geometry.

a b c (Å): 3.727 5.585 7.868
angles (deg): 113.52 90.00 90.00
Sites, in units of the cell vectors:
Hf  0.750  0.174  0.438
Be  0.750  0.664  0.288
Hf  0.250  0.826  0.562
Sb  0.250  0.340  0.218
Hf  0.750  0.226  0.906
Be  0.250  0.336  0.712
Hf  0.250  0.774  0.094
Sb  0.750  0.660  0.782

Results
calculated total energy: -0.5385 Ry per atom
uncorrected formation energy: -388 meV/atom
size of the total moment: 0.0 μB/f.u.
energy above the lowest structure with this stoichiometry: 0 meV/atom
N(E_F): 1.58 states/eV/f.u.


No. 11
## HfBe3Sb (PBE-GGA)

Data for crystalline HfBe3Sb at its relaxed geometry.

a b c (Å): 4.715 4.715 4.715
angles (deg): 90.00 90.00 90.00
Sites, in units of the cell vectors:
Be  0.000  0.500  0.000
Sb  0.500  0.500  0.500
Be  0.000  0.000  0.500
Hf  0.000  0.000  0.000
Be  0.500  0.000  0.000

Results
calculated total energy: -0.2570 Ry per atom
uncorrected formation energy: 1554 meV/atom
size of the total moment: 0.0 μB/f.u.
energy above the lowest structure with this stoichiometry: 294 meV/atom
N(E_F): 4.27 states/eV/f.u.


No. 12
## Hf8BeSb2 (PBE-GGA)

Data for crystalline Hf8BeSb2 at its relaxed geometry.

a b c (Å): 3.790 7.612 8.461
angles (deg): 93.64 102.94 90.00
Sites, in units of the cell vectors:
Hf  0.588  0.518  0.176
Hf  0.653  0.044  0.305
Hf  0.412  0.482  0.824
Hf  0.018  0.223  0.036
Sb  0.175  0.761  0.350
Be  0.500  0.000  0.000
Hf  0.204  0.359  0.408
Hf  0.982  0.777  0.964
Hf  0.347  0.956  0.695
Sb  0.825  0.239  0.650
Hf  0.796  0.641  0.592

Results
calculated total energy: -0.6245 Ry per atom
uncorrected formation energy: -170 meV/atom
size of the total moment: 0.0 μB/f.u.
N(E_F): 10.51 states/eV/f.u.


N(E_F) of number 3 (HfBeS)?
1.22 states/eV/f.u.